# Sm2GaCu PBE optimized geometry
# Density (Mg/m³): 6.7
# Total DFT energy (no corrections) (eV/atom): -3.93
# Energy of formation from the pure elements (eV per atom): 0.213
# M_tot (μB per formula unit): 0.00
data_Sm2GaCu
_space_group_name_H-M_alt 'P 1'
_space_group_IT_number 1
_space_group_name_Hall 'P 1'
_cell_length_a 3.4455
_cell_length_b 3.4455
_cell_length_c 10.7088
_cell_angle_alpha 80.74
_cell_angle_beta 80.74
_cell_angle_gamma 60.00
loop_
_atom_site_label
_atom_site_type_symbol
_atom_site_fract_x
_atom_site_fract_y
_atom_site_fract_z
Cu1 Cu 0.5000 0.5000 0.5000
Ga1 Ga 0.0000 0.0000 0.0000
Sm1 Sm 0.0981 0.0981 0.7056
Sm2 Sm 0.9019 0.9019 0.2944

# Mn5P PBE optimized geometry
# Density (Mg/m³): 7.8
# Total DFT energy (no corrections) (eV/atom): -8.62
# Excess energy over the best structure of this formula in the dataset (eV per atom): 0.086
# Energy of formation from the pure elements (eV per atom): -0.076
# M_tot (μB per formula unit): 1.71
data_Mn5P
_space_group_name_H-M_alt 'P 1'
_space_group_IT_number 1
_space_group_name_Hall 'P 1'
_cell_length_a 6.3250
_cell_length_b 6.3250
_cell_length_c 4.0215
_cell_angle_alpha 90.00
_cell_angle_beta 90.00
_cell_angle_gamma 156.12
loop_
_atom_site_label
_atom_site_type_symbol
_atom_site_fract_x
_atom_site_fract_y
_atom_site_fract_z
Mn1 Mn 0.0008 0.9992 0.0000
Mn2 Mn 0.3344 0.6656 0.0000
Mn3 Mn 0.6658 0.3342 0.0000
Mn4 Mn 0.4437 0.5563 0.5000
Mn5 Mn 0.7759 0.2241 0.5000
P1 P 0.1126 0.8874 0.5000

# TaRhCl2 PBE optimized geometry
# Density (Mg/m³): 8.3
# Total DFT energy (no corrections) (eV/atom): -5.51
# Excess energy over the best structure of this formula in the dataset (eV per atom): 0.871
# Uncorrected formation energy (eV/atom): 0.2125
# M_tot (μB per formula unit): 0.84
data_TaRhCl2
_space_group_name_H-M_alt 'P 1'
_space_group_IT_number 1
_space_group_name_Hall 'P 1'
_cell_length_a 3.1660
_cell_length_b 3.1660
_cell_length_c 8.7468
_cell_angle_alpha 90.00
_cell_angle_beta 90.00
_cell_angle_gamma 125.56
loop_
_atom_site_label
_atom_site_type_symbol
_atom_site_fract_x
_atom_site_fract_y
_atom_site_fract_z
Cl1 Cl 0.0000 0.0000 0.9856
Cl2 Cl 0.0000 0.0000 0.5144
Rh1 Rh 0.5000 0.5000 0.2500
Ta1 Ta 0.5000 0.5000 0.7500

# ZrGa2Ag2 PBE optimized geometry
# Density (Mg/m³): 8.1
# Total DFT energy (no corrections) (eV/atom): -4.14
# Excess energy over the best structure of this formula in the dataset (eV per atom): 0.085
# Energy of formation from the pure elements (eV per atom): -0.081
# M_tot (μB per formula unit): 0.00
data_ZrGa2Ag2
_space_group_name_H-M_alt 'P 1'
_space_group_IT_number 1
_space_group_name_Hall 'P 1'
_cell_length_a 7.8167
_cell_length_b 7.8167
_cell_length_c 2.9895
_cell_angle_alpha 90.00
_cell_angle_beta 90.00
_cell_angle_gamma 90.00
loop_
_atom_site_label
_atom_site_type_symbol
_atom_site_fract_x
_atom_site_fract_y
_atom_site_fract_z
Ga1 Ga 0.3516 0.8516 0.0000
Ga2 Ga 0.8516 0.6484 0.0000
Ga3 Ga 0.6484 0.1484 0.0000
Ga4 Ga 0.1484 0.3516 0.0000
Zr1 Zr 0.0000 0.0000 0.0000
Zr2 Zr 0.5000 0.5000 0.0000
Ag1 Ag 0.1499 0.6499 0.5000
Ag2 Ag 0.6499 0.8501 0.5000
Ag3 Ag 0.8501 0.3501 0.5000
Ag4 Ag 0.3501 0.1499 0.5000

# Hf3Pa PBE optimized geometry
# Density (Mg/m³): 13.8
# Total DFT energy (no corrections) (eV/atom): -9.74
# Excess energy over the best structure of this formula in the dataset (eV per atom): 0.031
# Energy of formation from the pure elements (eV per atom): 0.097
# M_tot (μB per formula unit): 0.00
data_Hf3Pa
_space_group_name_H-M_alt 'P 1'
_space_group_IT_number 1
_space_group_name_Hall 'P 1'
_cell_length_a 3.1015
_cell_length_b 5.2488
_cell_length_c 5.6811
_cell_angle_alpha 90.00
_cell_angle_beta 90.00
_cell_angle_gamma 90.00
loop_
_atom_site_label
_atom_site_type_symbol
_atom_site_fract_x
_atom_site_fract_y
_atom_site_fract_z
Pa1 Pa 0.0000 0.5000 0.3058
Hf1 Hf 0.0000 0.0000 0.0228
Hf2 Hf 0.5000 0.0000 0.5287
Hf3 Hf 0.5000 0.5000 0.8093

# Pr4Cd3Ru PBE optimized geometry
# Density (Mg/m³): 7.6
# Total DFT energy (no corrections) (eV/atom): -4.15
# Energy of formation from the pure elements (eV per atom): -0.253
# M_tot (μB per formula unit): 0.42
data_Pr4Cd3Ru
_space_group_name_H-M_alt 'P 1'
_space_group_IT_number 1
_space_group_name_Hall 'P 1'
_cell_length_a 3.6961
_cell_length_b 3.6961
_cell_length_c 16.1014
_cell_angle_alpha 90.00
_cell_angle_beta 90.00
_cell_angle_gamma 90.00
loop_
_atom_site_label
_atom_site_type_symbol
_atom_site_fract_x
_atom_site_fract_y
_atom_site_fract_z
Pr1 Pr 0.0000 0.0000 0.8958
Pr2 Pr 0.0000 0.0000 0.1042
Pr3 Pr 0.0000 0.0000 0.3706
Pr4 Pr 0.0000 0.0000 0.6294
Ru1 Ru 0.5000 0.5000 0.0000
Cd1 Cd 0.5000 0.5000 0.2426
Cd2 Cd 0.5000 0.5000 0.5000
Cd3 Cd 0.5000 0.5000 0.7574

# La2SbSe PBE optimized geometry
# Density (Mg/m³): 4.6
# Total DFT energy (no corrections) (eV/atom): -5.48
# Excess energy over the best structure of this formula in the dataset (eV per atom): 0.531
# Uncorrected formation energy (eV/atom): -1.1116
# M_tot (μB per formula unit): 1.00
data_La2SbSe
_space_group_name_H-M_alt 'P 1'
_space_group_IT_number 1
_space_group_name_Hall 'P 1'
_cell_length_a 6.9391
_cell_length_b 6.9391
_cell_length_c 8.6665
_cell_angle_alpha 66.40
_cell_angle_beta 66.40
_cell_angle_gamma 90.00
loop_
_atom_site_label
_atom_site_type_symbol
_atom_site_fract_x
_atom_site_fract_y
_atom_site_fract_z
Sb1 Sb 0.0000 0.0000 0.0000
Sb2 Sb 0.7500 0.2500 0.5000
Se1 Se 0.5000 0.5000 0.0000
Se2 Se 0.2500 0.7500 0.5000
La1 La 0.6059 0.1250 0.2500
La2 La 0.1441 0.6250 0.2500
La3 La 0.3750 0.3941 0.7500
La4 La 0.8750 0.8559 0.7500

# Zr2TiMo PBE optimized geometry
# Density (Mg/m³): 6.9
# Total DFT energy (no corrections) (eV/atom): -8.90
# Excess energy over the best structure of this formula in the dataset (eV per atom): 0.000
# Energy of formation from the pure elements (eV per atom): 0.055
# M_tot (μB per formula unit): 0.00
data_Zr2TiMo
_space_group_name_H-M_alt 'P 1'
_space_group_IT_number 1
_space_group_name_Hall 'P 1'
_cell_length_a 3.3658
_cell_length_b 3.3658
_cell_length_c 6.9025
_cell_angle_alpha 90.00
_cell_angle_beta 90.00
_cell_angle_gamma 90.00
loop_
_atom_site_label
_atom_site_type_symbol
_atom_site_fract_x
_atom_site_fract_y
_atom_site_fract_z
Mo1 Mo 0.5000 0.5000 0.0000
Zr1 Zr 0.0000 0.0000 0.7675
Zr2 Zr 0.0000 0.0000 0.2325
Ti1 Ti 0.5000 0.5000 0.5000

# CsCaMnBr6 PBE optimized geometry
# Density (Mg/m³): 3.2
# Total DFT energy (no corrections) (eV/atom): -3.81
# Uncorrected formation energy (eV/atom): -1.3587
# M_tot (μB per formula unit): 4.00
data_CsCaMnBr6
_space_group_name_H-M_alt 'P 1'
_space_group_IT_number 1
_space_group_name_Hall 'P 1'
_cell_length_a 7.2037
_cell_length_b 7.1995
_cell_length_c 8.0530
_cell_angle_alpha 89.97
_cell_angle_beta 89.98
_cell_angle_gamma 60.01
loop_
_atom_site_label
_atom_site_type_symbol
_atom_site_fract_x
_atom_site_fract_y
_atom_site_fract_z
Cs1 Cs 0.9999 0.0000 0.0000
Ca1 Ca 0.6669 0.6665 0.5000
Mn1 Mn 0.3333 0.3333 0.5000
Br1 Br 0.0339 0.3550 0.3103
Br2 Br 0.3550 0.0341 0.6894
Br3 Br 0.6110 0.3551 0.6898
Br4 Br 0.0339 0.6111 0.6897
Br5 Br 0.3550 0.6110 0.3105
Br6 Br 0.6110 0.0340 0.3102

# TiSnIrN2 PBE optimized geometry
# Density (Mg/m³): 7.9
# Total DFT energy (no corrections) (eV/atom): -6.72
# Uncorrected formation energy (eV/atom): 0.7585
# M_tot (μB per formula unit): 0.00
data_TiSnIrN2
_space_group_name_H-M_alt 'P 1'
_space_group_IT_number 1
_space_group_name_Hall 'P 1'
_cell_length_a 3.8403
_cell_length_b 5.5290
_cell_length_c 3.8403
_cell_angle_alpha 90.00
_cell_angle_beta 90.00
_cell_angle_gamma 90.00
loop_
_atom_site_label
_atom_site_type_symbol
_atom_site_fract_x
_atom_site_fract_y
_atom_site_fract_z
N1 N 0.0000 0.0000 0.5000
N2 N 0.5000 0.0000 0.0000
Ir1 Ir 0.0000 0.0000 0.0000
Sn1 Sn 0.5000 0.5000 0.5000
Ti1 Ti 0.0000 0.5000 0.0000

# NaPd2Pt PBE optimized geometry
# Density (Mg/m³): 10.0
# Total DFT energy (no corrections) (eV/atom): -4.16
# Excess energy over the best structure of this formula in the dataset (eV per atom): 0.371
# Energy of formation from the pure elements (eV per atom): 0.280
# M_tot (μB per formula unit): 0.00
data_NaPd2Pt
_space_group_name_H-M_alt 'P 1'
_space_group_IT_number 1
_space_group_name_Hall 'P 1'
_cell_length_a 3.9241
_cell_length_b 3.9241
_cell_length_c 9.7040
_cell_angle_alpha 78.33
_cell_angle_beta 78.33
_cell_angle_gamma 90.00
loop_
_atom_site_label
_atom_site_type_symbol
_atom_site_fract_x
_atom_site_fract_y
_atom_site_fract_z
Na1 Na 0.5000 0.5000 0.0000
Na2 Na 0.2500 0.7500 0.5000
Pd1 Pd 0.6402 0.1250 0.2500
Pd2 Pd 0.1098 0.6250 0.2500
Pd3 Pd 0.3750 0.3598 0.7500
Pd4 Pd 0.8750 0.8902 0.7500
Pt1 Pt 0.0000 0.0000 0.0000
Pt2 Pt 0.7500 0.2500 0.5000

# ScCu PBE optimized geometry
# Density (Mg/m³): 4.8
# Total DFT energy (no corrections) (eV/atom): -5.10
# Energy of formation from the pure elements (eV per atom): 0.116
# M_tot (μB per formula unit): 0.34
data_ScCu
_space_group_name_H-M_alt 'P 1'
_space_group_IT_number 1
_space_group_name_Hall 'P 1'
_cell_length_a 3.1647
_cell_length_b 8.7746
_cell_length_c 3.1647
_cell_angle_alpha 100.39
_cell_angle_beta 60.00
_cell_angle_gamma 100.39
loop_
_atom_site_label
_atom_site_type_symbol
_atom_site_fract_x
_atom_site_fract_y
_atom_site_fract_z
Cu1 Cu 0.9917 0.9752 0.9917
Cu2 Cu 0.2583 0.7748 0.2583
Sc1 Sc 0.5108 0.5324 0.5108
Sc2 Sc 0.7392 0.2176 0.7392

# TeSe2Cl PBE optimized geometry
# Density (Mg/m³): 5.1
# Total DFT energy (no corrections) (eV/atom): -2.93
# Excess energy over the best structure of this formula in the dataset (eV per atom): 0.197
# Uncorrected formation energy (eV/atom): 0.0547
# M_tot (μB per formula unit): 0.00
data_TeSe2Cl
_space_group_name_H-M_alt 'P 1'
_space_group_IT_number 1
_space_group_name_Hall 'P 1'
_cell_length_a 7.5609
_cell_length_b 7.5609
_cell_length_c 7.5609
_cell_angle_alpha 31.32
_cell_angle_beta 31.32
_cell_angle_gamma 31.32
loop_
_atom_site_label
_atom_site_type_symbol
_atom_site_fract_x
_atom_site_fract_y
_atom_site_fract_z
Cl1 Cl 0.7500 0.7500 0.7500
Se1 Se 0.9923 0.9923 0.9923
Se2 Se 0.5077 0.5077 0.5077
Te1 Te 0.2500 0.2500 0.2500

# In2Hg3 PBE optimized geometry
# Density (Mg/m³): 9.6
# Total DFT energy (no corrections) (eV/atom): -1.26
# Excess energy over the best structure of this formula in the dataset (eV per atom): 0.006
# Energy of formation from the pure elements (eV per atom): 0.013
# M_tot (μB per formula unit): 0.00
data_In2Hg3
_space_group_name_H-M_alt 'P 1'
_space_group_IT_number 1
_space_group_name_Hall 'P 1'
_cell_length_a 4.9639
_cell_length_b 4.9639
_cell_length_c 6.7544
_cell_angle_alpha 90.00
_cell_angle_beta 90.00
_cell_angle_gamma 120.00
loop_
_atom_site_label
_atom_site_type_symbol
_atom_site_fract_x
_atom_site_fract_y
_atom_site_fract_z
Hg1 Hg 0.0000 0.0000 0.0000
Hg2 Hg 0.6667 0.3333 0.6262
Hg3 Hg 0.3333 0.6667 0.3738
In1 In 0.6667 0.3333 0.1674
In2 In 0.3333 0.6667 0.8326

# NaYSn2 PBE optimized geometry
# Density (Mg/m³): 5.6
# Total DFT energy (no corrections) (eV/atom): -4.41
# Energy of formation from the pure elements (eV per atom): -0.458
# M_tot (μB per formula unit): 0.00
data_NaYSn2
_space_group_name_H-M_alt 'P 1'
_space_group_IT_number 1
_space_group_name_Hall 'P 1'
_cell_length_a 4.5222
_cell_length_b 4.7724
_cell_length_c 4.7724
_cell_angle_alpha 90.00
_cell_angle_beta 90.00
_cell_angle_gamma 90.00
loop_
_atom_site_label
_atom_site_type_symbol
_atom_site_fract_x
_atom_site_fract_y
_atom_site_fract_z
Y1 Y 0.5000 0.5000 0.5000
Na1 Na 0.5000 0.0000 0.0000
Sn1 Sn 0.0000 0.0000 0.5000
Sn2 Sn 0.0000 0.5000 0.0000

# ScSn2MoW PBE optimized geometry
# Density (Mg/m³): 7.1
# Total DFT energy (no corrections) (eV/atom): -6.63
# Energy of formation from the pure elements (eV per atom): 0.990
# M_tot (μB per formula unit): 1.10
data_ScSn2MoW
_space_group_name_H-M_alt 'P 1'
_space_group_IT_number 1
_space_group_name_Hall 'P 1'
_cell_length_a 5.1907
_cell_length_b 4.8492
_cell_length_c 5.1907
_cell_angle_alpha 90.00
_cell_angle_beta 90.00
_cell_angle_gamma 90.00
loop_
_atom_site_label
_atom_site_type_symbol
_atom_site_fract_x
_atom_site_fract_y
_atom_site_fract_z
Sc1 Sc 0.5000 0.5000 0.5000
Mo1 Mo 0.0000 0.5000 0.0000
Sn1 Sn 0.0000 0.0000 0.5000
Sn2 Sn 0.5000 0.0000 0.0000
W1 W 0.0000 0.0000 0.0000

# CaMg3Zn PBE optimized geometry
# Density (Mg/m³): 1.2
# Total DFT energy (no corrections) (eV/atom): -0.67
# Excess energy over the best structure of this formula in the dataset (eV per atom): 1.057
# Energy of formation from the pure elements (eV per atom): 0.939
# M_tot (μB per formula unit): 0.00
data_CaMg3Zn
_space_group_name_H-M_alt 'P 1'
_space_group_IT_number 1
_space_group_name_Hall 'P 1'
_cell_length_a 6.3206
_cell_length_b 6.3206
_cell_length_c 6.3206
_cell_angle_alpha 90.00
_cell_angle_beta 90.00
_cell_angle_gamma 90.00
loop_
_atom_site_label
_atom_site_type_symbol
_atom_site_fract_x
_atom_site_fract_y
_atom_site_fract_z
Mg1 Mg 0.0000 0.5000 0.0000
Mg2 Mg 0.0000 0.0000 0.5000
Mg3 Mg 0.5000 0.0000 0.0000
Zn1 Zn 0.5000 0.5000 0.5000
Ca1 Ca 0.0000 0.0000 0.0000

# TbNd2Tm6Sc3 PBE optimized geometry
# Density (Mg/m³): 7.5
# Total DFT energy (no corrections) (eV/atom): -4.95
# Energy of formation from the pure elements (eV per atom): 0.047
# M_tot (μB per formula unit): 0.00
data_TbNd2Tm6Sc3
_space_group_name_H-M_alt 'P 1'
_space_group_IT_number 1
_space_group_name_Hall 'P 1'
_cell_length_a 6.0333
_cell_length_b 6.0333
_cell_length_c 11.4359
_cell_angle_alpha 95.05
_cell_angle_beta 95.05
_cell_angle_gamma 120.00
loop_
_atom_site_label
_atom_site_type_symbol
_atom_site_fract_x
_atom_site_fract_y
_atom_site_fract_z
Tb1 Tb 0.0000 0.0000 0.0000
Nd1 Nd 0.3333 0.6667 0.0000
Nd2 Nd 0.6667 0.3333 0.0000
Tm1 Tm 0.9129 0.5800 0.7388
Tm2 Tm 0.7542 0.7542 0.2612
Tm3 Tm 0.0871 0.4200 0.2612
Tm4 Tm 0.5800 0.9129 0.7388
Tm5 Tm 0.2458 0.2458 0.7388
Tm6 Tm 0.4200 0.0871 0.2612
Sc1 Sc 0.1664 0.8336 0.5000
Sc2 Sc 0.8336 0.1664 0.5000
Sc3 Sc 0.5000 0.5000 0.5000

# YMg2GaAu2 PBE optimized geometry
# Density (Mg/m³): 6.7
# Total DFT energy (no corrections) (eV/atom): -3.48
# Energy of formation from the pure elements (eV per atom): -0.277
# M_tot (μB per formula unit): 0.00
data_YMg2GaAu2
_space_group_name_H-M_alt 'P 1'
_space_group_IT_number 1
_space_group_name_Hall 'P 1'
_cell_length_a 5.2424
_cell_length_b 5.2424
_cell_length_c 6.5796
_cell_angle_alpha 113.48
_cell_angle_beta 113.48
_cell_angle_gamma 90.00
loop_
_atom_site_label
_atom_site_type_symbol
_atom_site_fract_x
_atom_site_fract_y
_atom_site_fract_z
Y1 Y 0.5000 0.5000 0.0000
Mg1 Mg 0.2500 0.7500 0.5000
Mg2 Mg 0.7500 0.2500 0.5000
Ga1 Ga 0.0000 0.0000 0.0000
Au1 Au 0.7702 0.7702 0.5405
Au2 Au 0.2298 0.2298 0.4595

# Er3In4 PBE optimized geometry
# Density (Mg/m³): 8.8
# Total DFT energy (no corrections) (eV/atom): -3.93
# Energy of formation from the pure elements (eV per atom): -0.414
# M_tot (μB per formula unit): 0.00
data_Er3In4
_space_group_name_H-M_alt 'P 1'
_space_group_IT_number 1
_space_group_name_Hall 'P 1'
_cell_length_a 6.3809
_cell_length_b 8.3566
_cell_length_c 8.3566
_cell_angle_alpha 113.75
_cell_angle_beta 104.75
_cell_angle_gamma 104.75
loop_
_atom_site_label
_atom_site_type_symbol
_atom_site_fract_x
_atom_site_fract_y
_atom_site_fract_z
Er1 Er 0.1092 0.6095 0.8791
Er2 Er 0.2302 0.1209 0.7304
Er3 Er 0.4998 0.2696 0.3905
Er4 Er 0.8908 0.3905 0.1209
Er5 Er 0.7698 0.8791 0.2696
Er6 Er 0.5002 0.7304 0.6095
In1 In 0.5000 0.0000 0.0000
In2 In 0.0000 0.0000 0.0000
In3 In 0.9403 0.6826 0.5337
In4 In 0.4066 0.4663 0.1489
In5 In 0.2577 0.8511 0.3174
In6 In 0.0597 0.3174 0.4663
In7 In 0.5934 0.5337 0.8511
In8 In 0.7423 0.1489 0.6826